# Si2BiF | Alexandria via LeMat-Bulk | meta-GGA SCAN | single point on PBEsol structure
# - E_form (uncorrected): -0.2 eV per formula unit
data_Si2BiF
_cell_length_a 4.4160
_cell_length_b 4.4160
_cell_length_c 15.9614
_cell_angle_alpha 90.00
_cell_angle_beta 90.00
_cell_angle_gamma 90.00
_space_group_name_H-M_alt 'I -4 2 d'
_space_group_IT_number 122
_space_group_name_Hall 'I -4 2bw'
loop_
_atom_site_label
_atom_site_type_symbol
_atom_site_fract_x
_atom_site_fract_y
_atom_site_fract_z
Si1 Si 0.1328 0.2500 0.1250
Bi1 Bi 0.0000 0.0000 0.5000
F1 F 0.0000 0.0000 0.0000

=====

# SnBi2F | Alexandria via LeMat-Bulk | meta-GGA SCAN | single point on PBEsol structure
# - E_form (uncorrected): -1.7 eV per formula unit
data_SnBi2F
_cell_length_a 5.4086
_cell_length_b 5.4086
_cell_length_c 15.7973
_cell_angle_alpha 90.00
_cell_angle_beta 90.00
_cell_angle_gamma 90.00
_space_group_name_H-M_alt 'I -4 2 d'
_space_group_IT_number 122
_space_group_name_Hall 'I -4 2bw'
loop_
_atom_site_label
_atom_site_type_symbol
_atom_site_fract_x
_atom_site_fract_y
_atom_site_fract_z
Sn1 Sn 0.0000 0.0000 0.0000
Bi1 Bi 0.1556 0.2500 0.6250
F1 F 0.0000 0.0000 0.5000

=====

# TaBiF3 | Alexandria via LeMat-Bulk | meta-GGA SCAN | single point on PBEsol structure
# - E_form (uncorrected): -1.4 eV per formula unit
data_TaBiF3
_cell_length_a 4.6070
_cell_length_b 4.6070
_cell_length_c 4.6070
_cell_angle_alpha 90.00
_cell_angle_beta 90.00
_cell_angle_gamma 90.00
_space_group_name_H-M_alt 'P m -3 m'
_space_group_IT_number 221
_space_group_name_Hall '-P 4 2 3'
loop_
_atom_site_label
_atom_site_type_symbol
_atom_site_fract_x
_atom_site_fract_y
_atom_site_fract_z
Ta1 Ta 0.0000 0.0000 0.0000
Bi1 Bi 0.5000 0.5000 0.5000
F1 F 0.0000 0.5000 0.5000